Density functional theory data (PBE) for an optimized crystal structure of YInCoAg.

```
YInCoAg
1.0
0.000 3.382 3.382
3.382 0.000 3.382
3.382 3.382 0.000
Ag Co In Y
1 1 1 1
Direct
0.250 0.250 0.250 Ag
0.750 0.750 0.750 Co
0.000 0.000 0.000 In
0.500 0.500 0.500 Y
```

***

Density functional theory data (PBE) for an optimized crystal structure of Rb2CoHgCl6.

```
Rb2CoHgCl6
1.0
7.217 0.000 0.000
0.000 7.159 0.000
-7.197 0.000 10.264
Cl Co Hg Rb
12 2 2 4
Direct
0.729 0.270 0.022 Cl
0.791 0.794 0.025 Cl
0.689 0.006 0.235 Cl
0.311 0.506 0.265 Cl
0.209 0.294 0.475 Cl
0.271 0.770 0.478 Cl
0.729 0.230 0.522 Cl
0.791 0.706 0.525 Cl
0.689 0.494 0.735 Cl
0.311 0.994 0.765 Cl
0.209 0.206 0.975 Cl
0.271 0.730 0.978 Cl
0.500 0.000 0.000 Co
0.500 0.500 0.500 Co
0.000 0.500 0.000 Hg
0.000 0.000 0.500 Hg
0.245 0.028 0.250 Rb
0.755 0.528 0.250 Rb
0.245 0.472 0.750 Rb
0.755 0.972 0.750 Rb
```

***

Density functional theory data (PBE) for an optimized crystal structure of Tl2PtBr2Cl2.

```
Tl2PtBr2Cl2
1.0
-0.104 2.910 -3.203
-0.130 -5.464 -4.959
-7.357 -0.022 0.218
Br Cl Pt Tl
2 2 1 2
Direct
0.000 0.235 0.231 Br
0.000 0.765 0.231 Br
0.000 0.223 0.772 Cl
0.000 0.777 0.772 Cl
0.000 0.000 0.996 Pt
0.500 0.000 0.513 Tl
0.500 0.500 0.983 Tl
```

***

How do the records compare in total magnetic moment? In the order shown, they have 1.2, 6.0, 0.0 Bohr magnetons per cell.
How do the records compare in total energy? In the order shown, they have -19.7, -31.5, -22.7 eV per formula unit.